1.
Here is a relaxed structure of Tm2ZrAl from the Alexandria database. Energies are from PBE.

Unit cell a=3.394 b=3.394 c=8.540 alpha=90.00 beta=90.00 gamma=90.00
Atoms (fractional coordinates):
Tm 0.000 0.000 0.231
Tm 0.000 0.000 0.769
Zr 0.500 0.500 0.500
Al 0.500 0.500 0.000

Results
- excess energy over the best structure of this formula in the dataset (meV/atom) = 5
- E_form (meV/atom) = -174

=====

2.
Here is a relaxed structure of YMg5Cu from the Alexandria database. Energies are from PBE.

Unit cell a=4.529 b=4.529 c=8.042 alpha=90.00 beta=90.00 gamma=90.00
Atoms (fractional coordinates):
Y 0.000 0.000 0.000
Mg 0.000 0.500 0.306
Mg 0.000 0.500 0.694
Mg 0.500 0.000 0.306
Mg 0.500 0.000 0.694
Mg 0.500 0.500 0.000
Cu 0.500 0.500 0.500

Results
- excess energy over the best structure of this formula in the dataset (meV/atom) = 0
- E_form (meV/atom) = 18

=====

3.
Here is a relaxed structure of Ba2Li2TaO6 from the Alexandria database. Energies are from PBE.

Unit cell a=6.271 b=6.271 c=6.271 alpha=56.15 beta=56.15 gamma=56.15
Atoms (fractional coordinates):
Ba 0.232 0.232 0.232
Ba 0.768 0.768 0.768
Li 0.427 0.427 0.427
Li 0.573 0.573 0.573
Ta 0.000 0.000 0.000
O 0.233 0.233 0.762
O 0.233 0.762 0.233
O 0.238 0.767 0.767
O 0.762 0.233 0.233
O 0.767 0.238 0.767
O 0.767 0.767 0.238

Results
- formation energy (no corrections) (eV/atom) = -2.441